Record 1
# PuMgIr

An optimized crystal structure of PuMgIr (GGA-PBE, the Alexandria database).

Geometry as POSCAR:
```
PuMgIr
1.0
4.625 0.000 0.000
2.312 4.005 0.000
2.312 1.335 3.776
Mg Ir Pu
1 1 1
Direct
0.500 0.500 0.500 Mg
0.250 0.250 0.250 Ir
0.000 0.000 0.000 Pu
```

Output
V: 70 Å³/f.u.
energy relative to the elements: -0.7 eV/f.u.



Record 2
# CrCo3N

An optimized crystal structure of CrCo3N (GGA-PBE, the Alexandria database).

Geometry as POSCAR:
```
CrCo3N
1.0
-3.434 -1.051 -2.105
1.742 -3.639 -1.026
-1.581 -1.727 3.442
Cr Co N
1 3 1
Direct
0.000 0.000 0.000 Cr
0.000 0.500 0.000 Co
0.000 0.000 0.500 Co
0.500 0.000 0.000 Co
0.500 0.500 0.500 N
```

Output
energy above the most stable polymorph in this dataset: 2.143 eV per atom
V: 72 Å³/f.u.



Record 3
# CuTe2W

An optimized crystal structure of CuTe2W (GGA-PBE, the Alexandria database).

Geometry as POSCAR:
```
CuTe2W
1.0
-1.145 -2.507 2.321
-2.196 -2.857 -4.169
3.567 -2.061 -0.467
Cu Te W
1 2 1
Direct
0.000 0.500 0.500 Cu
0.000 0.000 0.000 Te
0.500 0.500 0.000 Te
0.500 0.000 0.500 W
```

Output
energy above the most stable polymorph in this dataset: 0.672 eV per atom
V: 82 Å³/f.u.



Record 4
# LaTmCuPt

An optimized crystal structure of LaTmCuPt (GGA-PBE, the Alexandria database).

Geometry as POSCAR:
```
LaTmCuPt
1.0
-1.103 3.131 1.935
-4.304 -0.987 -0.855
0.313 -4.458 3.577
La Tm Cu Pt
1 1 1 1
Direct
0.141 0.000 0.283 La
0.866 0.500 0.731 Tm
0.574 0.500 0.149 Cu
0.419 0.000 0.837 Pt
```

Output
energy above the most stable polymorph in this dataset: 0.000 eV per atom
V: 93 Å³/f.u.
energy relative to the elements: -3.0 eV/f.u.



Record 5
# LiAlRh2

An optimized crystal structure of LiAlRh2 (GGA-PBE, the Alexandria database).

Geometry as POSCAR:
```
LiAlRh2
1.0
4.897 0.015 0.019
4.073 2.719 0.019
1.486 0.453 4.065
Al Li Rh
1 1 2
Direct
0.491 0.491 0.577 Al
0.256 0.256 0.176 Li
0.006 0.006 0.074 Rh
0.748 0.748 0.673 Rh
```

Output
V: 54 Å³/f.u.
energy relative to the elements: -2.2 eV/f.u.



Record 6
# LiZrSc2

An optimized crystal structure of LiZrSc2 (GGA-PBE, the Alexandria database).

Geometry as POSCAR:
```
LiZrSc2
1.0
-3.353 6.310 -2.597
1.651 -2.057 -7.131
-3.475 0.657 -5.047
Sc Zr Li
4 2 2
Direct
0.589 0.125 0.250 Sc
0.161 0.625 0.250 Sc
0.375 0.411 0.750 Sc
0.875 0.839 0.750 Sc
0.000 0.000 0.000 Zr
0.750 0.250 0.500 Zr
0.500 0.500 0.000 Li
0.250 0.750 0.500 Li
```

Output
energy above the most stable polymorph in this dataset: 0.300 eV per atom
V: 87 Å³/f.u.
energy relative to the elements: 1.4 eV/f.u.



Record 7
# CaScPt2

An optimized crystal structure of CaScPt2 (GGA-PBE, the Alexandria database).

Geometry as POSCAR:
```
CaScPt2
1.0
-3.394 -5.754 -3.288
6.459 -2.045 -3.088
2.132 -5.622 -0.793
Sc Ca Pt
2 2 4
Direct
0.000 0.000 0.000 Sc
0.750 0.250 0.500 Sc
0.500 0.500 0.000 Ca
0.250 0.750 0.500 Ca
0.649 0.125 0.250 Pt
0.101 0.625 0.250 Pt
0.375 0.351 0.750 Pt
0.875 0.899 0.750 Pt
```

Output
V: 83 Å³/f.u.
energy relative to the elements: -2.8 eV/f.u.



Record 8
# ReSi2Pb

An optimized crystal structure of ReSi2Pb (GGA-PBE, the Alexandria database).

Geometry as POSCAR:
```
ReSi2Pb
1.0
9.017 -0.027 -0.016
8.476 3.076 -0.016
8.476 1.477 2.698
Pb Re Si
1 1 2
Direct
0.250 0.250 0.250 Pb
0.750 0.750 0.750 Re
0.019 0.019 0.019 Si
0.481 0.481 0.481 Si
```

Output
energy: -6.458 eV/atom
V: 76 Å³/f.u.



Record 9
# Ta2CdIr

An optimized crystal structure of Ta2CdIr (GGA-PBE, the Alexandria database).

Geometry as POSCAR:
```
Ta2CdIr
1.0
-0.746 -3.821 -1.156
0.452 -1.248 3.834
-4.105 0.596 0.678
Cd Ir Ta
1 1 2
Direct
0.500 0.000 0.500 Cd
0.000 0.500 0.500 Ir
0.000 0.000 0.000 Ta
0.500 0.500 0.000 Ta
```

Output
V: 69 Å³/f.u.
energy relative to the elements: 0.0 eV/f.u.



Record 10
# NaTl2Cd2Hg5

An optimized crystal structure of NaTl2Cd2Hg5 (GGA-PBE, the Alexandria database).

Geometry as POSCAR:
```
NaTl2Cd2Hg5
1.0
4.422 0.000 0.000
0.000 11.138 0.000
0.000 0.000 11.138
Na Tl Cd Hg
2 4 4 10
Direct
0.000 0.000 0.000 Na
0.000 0.500 0.500 Na
0.000 0.668 0.168 Tl
0.000 0.332 0.832 Tl
0.000 0.168 0.332 Tl
0.000 0.832 0.668 Tl
0.000 0.137 0.637 Cd
0.000 0.863 0.363 Cd
0.000 0.637 0.863 Cd
0.000 0.363 0.137 Cd
0.500 0.203 0.027 Hg
0.500 0.797 0.973 Hg
0.500 0.027 0.797 Hg
0.500 0.703 0.473 Hg
0.500 0.973 0.203 Hg
0.500 0.297 0.527 Hg
0.500 0.527 0.703 Hg
0.500 0.473 0.297 Hg
0.500 0.500 0.000 Hg
0.500 0.000 0.500 Hg
```

Output
V: 274 Å³/f.u.
energy relative to the elements: -0.5 eV/f.u.



Record 11
# Rb2BaAg

An optimized crystal structure of Rb2BaAg (GGA-PBE, the Alexandria database).

Geometry as POSCAR:
```
Rb2BaAg
1.0
0.000 4.730 4.730
4.730 0.000 4.730
4.730 4.730 0.000
Rb Ba Ag
2 1 1
Direct
0.250 0.250 0.250 Rb
0.750 0.750 0.750 Rb
0.500 0.500 0.500 Ba
0.000 0.000 0.000 Ag
```

Output
energy above the most stable polymorph in this dataset: 0.170 eV per atom
V: 212 Å³/f.u.
energy relative to the elements: 1.3 eV/f.u.



Record 12
# Ca3Tm2ScTe6

An optimized crystal structure of Ca3Tm2ScTe6 (GGA-PBE, the Alexandria database).

Geometry as POSCAR:
```
Ca3Tm2ScTe6
1.0
4.344 0.000 0.000
0.000 8.805 0.217
-2.172 -2.640 9.220
Ca Tm Sc Te
3 2 1 6
Direct
0.500 0.500 0.000 Ca
0.832 0.167 0.665 Ca
0.168 0.833 0.335 Ca
0.836 0.672 0.672 Tm
0.164 0.328 0.328 Tm
0.500 0.000 0.000 Sc
0.338 0.915 0.676 Te
0.670 0.577 0.339 Te
0.662 0.085 0.324 Te
0.001 0.238 0.001 Te
0.999 0.762 0.999 Te
0.330 0.423 0.661 Te
```

Output
energy: -4.730 eV/atom
V: 355 Å³/f.u.